No. 1
A plane-wave DFT calculation with PBE was carried out for an optimized crystal structure of Lu2FeSb.

Volume   20.426 Å³/atom
Total magnetization   0.90 μB/f.u.
Uncorrected energy   -21.17 eV per formula unit

Unit cell a=4.8706 b=4.8706 c=4.8706 alpha=60.00 beta=60.00 gamma=60.00
Closest atoms and distances in Å follow each position.
Fractional positions:
Lu: 0.0000 0.0000 0.0000  4 Lu 2.98, 4 Fe 2.98
Sb: 0.5000 0.5000 0.5000  4 Lu 2.98, 4 Fe 2.98
Fe: 0.2500 0.2500 0.2500  4 Sb 2.98, 4 Lu 2.98
Lu: 0.7500 0.7500 0.7500  4 Sb 2.98, 4 Lu 2.98

No. 2
A plane-wave DFT calculation with PBE was carried out for an optimized crystal structure of Sr3Zn11.

Volume   20.326 Å³/atom
Uncorrected energy   -21.90 eV per formula unit

Unit cell a=8.4945 b=8.4945 c=8.4945 alpha=149.41 beta=111.84 gamma=76.54
Closest atoms and distances in Å follow each position.
Fractional positions:
Zn: 0.2992 0.5000 0.7992  8 Zn 2.64-2.95
Zn: 0.7008 0.5000 0.2008  8 Zn 2.64-2.95
Zn: 0.9810 0.3346 0.6463  5 Zn 2.64-2.84
Zn: 0.3117 0.6654 0.6463  5 Zn 2.64-2.84
Zn: 0.5882 0.8729 0.7153  6 Zn 2.65-2.84
Zn: 0.5000 0.0000 0.5000  8 Zn 2.66-2.95
Zn: 0.0190 0.6654 0.3537  5 Zn 2.64-2.84
Zn: 0.4118 0.1271 0.2847  6 Zn 2.65-2.84
Sr: 0.6994 0.6994 0.0000  16 Zn 3.19-3.56
Sr: 0.0000 0.0000 0.0000  12 Zn 3.20-3.44
Zn: 0.6883 0.3346 0.3537  5 Zn 2.64-2.84
Zn: 0.1576 0.8729 0.2847  6 Zn 2.65-2.84
Sr: 0.3006 0.3006 0.0000  16 Zn 3.19-3.56
Zn: 0.8424 0.1271 0.7153  6 Zn 2.65-2.84

No. 3
A plane-wave DFT calculation with PBE was carried out for an optimized crystal structure of RbCuSnTeSe2.

Volume   30.465 Å³/atom
Uncorrected energy   -21.64 eV per formula unit

Unit cell a=8.3494 b=8.3494 c=11.3570 alpha=90.00 beta=90.00 gamma=152.50
Closest atoms and distances in Å follow each position.
Fractional positions:
Cu: 0.4535 0.5465 0.7500  2 Se 2.42, 2 Te 2.66
Sn: 0.0000 0.0000 0.0000  4 Se 2.81, 2 Te 3.02
Cu: 0.5465 0.4535 0.2500  2 Se 2.42, 2 Te 2.66
Se: 0.3849 0.6151 0.9397  1 Cu 2.42
Se: 0.6151 0.3849 0.0603  1 Cu 2.42
Te: 0.0628 0.9372 0.7500  2 Cu 2.66
Sn: 0.0000 0.0000 0.5000  4 Se 2.81, 2 Te 3.02
Rb: 0.2431 0.7569 0.2500  4 Se 3.59, 2 Te 3.72, 2 Cu 3.75, 2 Rb 3.97
Se: 0.6151 0.3849 0.4397  1 Cu 2.42
Rb: 0.7569 0.2431 0.7500  4 Se 3.59, 2 Te 3.72, 2 Cu 3.75, 2 Rb 3.97
Se: 0.3849 0.6151 0.5603  1 Cu 2.42
Te: 0.9372 0.0628 0.2500  2 Cu 2.66

No. 4
A plane-wave DFT calculation with PBE was carried out for an optimized crystal structure of GaCu2Bi.

Volume   18.073 Å³/atom
Uncorrected energy   -13.85 eV per formula unit

Unit cell a=6.6128 b=6.6128 c=6.6128 alpha=90.00 beta=90.00 gamma=90.00
Closest atoms and distances in Å follow each position.
Fractional positions:
Cu: 0.7143 0.7143 0.2857  1 Ga 2.45
Cu: 0.7143 0.2857 0.7143  1 Ga 2.45
Bi: 0.0000 0.0000 0.0000  8 Cu 3.27, 6 Bi 3.31
Ga: 0.5000 0.0000 0.5000  8 Cu 2.75
Cu: 0.7143 0.2857 0.2857  1 Ga 2.45
Cu: 0.7143 0.7143 0.7143  1 Ga 2.45
Ga: 0.5000 0.5000 0.0000  8 Cu 2.75
Cu: 0.2857 0.2857 0.2857  1 Ga 2.45
Bi: 0.5000 0.0000 0.0000  8 Cu 3.02, 2 Bi 3.31, 4 Ga 3.31
Cu: 0.2857 0.2857 0.7143  1 Ga 2.45
Ga: 0.0000 0.5000 0.5000  8 Cu 2.75
Cu: 0.2857 0.7143 0.7143  1 Ga 2.45
Ga: 0.5000 0.5000 0.5000  8 Cu 2.45
Bi: 0.0000 0.0000 0.5000  8 Cu 3.02, 2 Bi 3.31, 4 Ga 3.31
Bi: 0.0000 0.5000 0.0000  8 Cu 3.02, 2 Bi 3.31, 4 Ga 3.31
Cu: 0.2857 0.7143 0.2857  1 Ga 2.45

uncorrected energy of number 2 (Sr3Zn11)?
-21.90 eV per formula unit